(1)
# CdRuPt2 (PBE, optimized geometry)
data_CdRuPt2
_chemical_formula_sum 'Cd3 Ru3 Pt6'
_cell_length_a 2.8232
_cell_length_b 2.8232
_cell_length_c 27.8838
_cell_angle_alpha 90.00
_cell_angle_beta 90.00
_cell_angle_gamma 120.00
_symmetry_space_group_name_H-M 'R -3 m'
_symmetry_Int_Tables_number 166
_symmetry_space_group_name_Hall '-R 3 2"'
loop_
_atom_site_label
_atom_site_fract_x
_atom_site_fract_y
_atom_site_fract_z
Cd1 0.0000 0.0000 0.0000
Ru1 0.0000 0.0000 0.5000
Pt1 0.0000 0.0000 0.2456
# - formation energy (eV/atom) = -0.02
# - V (A^3/atom) = 16.040
# - magnetic moment (μB per atom) = 0.000
# - final energy (Ry/atom) = -0.4107



(2)
# CdRuPt2 (PBE, optimized geometry)
data_CdRuPt2
_chemical_formula_sum 'Cd1 Ru1 Pt2'
_cell_length_a 3.309
_cell_length_b 3.309
_cell_length_c 6.016
_cell_angle_alpha 90.00
_cell_angle_beta 90.00
_cell_angle_gamma 90.00
_symmetry_space_group_name_H-M 'P 4 m m'
_symmetry_Int_Tables_number 99
_symmetry_space_group_name_Hall 'P 4 -2'
loop_
_atom_site_label
_atom_site_fract_x
_atom_site_fract_y
_atom_site_fract_z
Cd1 0.000 0.000 0.000
Ru1 0.500 0.500 0.719
Pt1 0.000 0.000 0.512
Pt2 0.500 0.500 0.261
# - formation energy (eV/atom) = 0.12
# - V (A^3/atom) = 16.471
# - magnetic moment (μB per atom) = 0.004
# - final energy (Ry/atom) = -0.4001



(3)
# Cd3RuPt (PBE, optimized geometry)
data_Cd3RuPt
_chemical_formula_sum 'Cd3 Ru1 Pt1'
_cell_length_a 5.091
_cell_length_b 5.091
_cell_length_c 5.091
_cell_angle_alpha 90.00
_cell_angle_beta 90.00
_cell_angle_gamma 90.00
_symmetry_space_group_name_H-M 'P m -3 m'
_symmetry_Int_Tables_number 221
_symmetry_space_group_name_Hall '-P 4 2 3'
loop_
_atom_site_label
_atom_site_fract_x
_atom_site_fract_y
_atom_site_fract_z
Cd1 0.000 0.000 0.500
Ru1 0.500 0.500 0.500
Pt1 0.000 0.000 0.000
# - formation energy (eV/atom) = 0.88
# - V (A^3/atom) = 26.387
# - magnetic moment (μB per atom) = 0.426
# - final energy (Ry/atom) = -0.2012



(4)
# CdRuPt2 (PBE, optimized geometry)
data_CdRuPt2
_chemical_formula_sum 'Cd2 Ru2 Pt4'
_cell_length_a 4.041
_cell_length_b 4.041
_cell_length_c 7.883
_cell_angle_alpha 90.00
_cell_angle_beta 90.00
_cell_angle_gamma 90.00
_symmetry_space_group_name_H-M 'I -4 m 2'
_symmetry_Int_Tables_number 119
_symmetry_space_group_name_Hall 'I -4 -2'
loop_
_atom_site_label
_atom_site_fract_x
_atom_site_fract_y
_atom_site_fract_z
Cd1 0.000 0.000 0.000
Ru1 0.000 0.500 0.250
Pt1 0.000 0.000 0.500
Pt2 0.000 0.500 0.750
# - formation energy (eV/atom) = 0.08
# - V (A^3/atom) = 16.089
# - magnetic moment (μB per atom) = 0.044
# - final energy (Ry/atom) = -0.4033



(5)
# CdRuPt2 (PBE, optimized geometry)
data_CdRuPt2
_chemical_formula_sum 'Cd4 Ru4 Pt8'
_cell_length_a 3.918
_cell_length_b 3.918
_cell_length_c 18.503
_cell_angle_alpha 90.00
_cell_angle_beta 90.00
_cell_angle_gamma 90.00
_symmetry_space_group_name_H-M 'I -4 2 d'
_symmetry_Int_Tables_number 122
_symmetry_space_group_name_Hall 'I -4 2bw'
loop_
_atom_site_label
_atom_site_fract_x
_atom_site_fract_y
_atom_site_fract_z
Cd1 0.000 0.000 0.000
Ru1 0.000 0.000 0.500
Pt1 0.235 0.250 0.625
# - formation energy (eV/atom) = 0.42
# - V (A^3/atom) = 17.755
# - magnetic moment (μB per atom) = 0.223
# - final energy (Ry/atom) = -0.3784



(6)
# CdRuPt2 (PBE, optimized geometry)
data_CdRuPt2
_chemical_formula_sum 'Cd1 Ru1 Pt2'
_cell_length_a 2.823
_cell_length_b 3.990
_cell_length_c 5.726
_cell_angle_alpha 90.00
_cell_angle_beta 90.00
_cell_angle_gamma 90.00
_symmetry_space_group_name_H-M 'P m m m'
_symmetry_Int_Tables_number 47
_symmetry_space_group_name_Hall '-P 2 2'
loop_
_atom_site_label
_atom_site_fract_x
_atom_site_fract_y
_atom_site_fract_z
Cd1 0.000 0.000 0.000
Ru1 0.000 0.000 0.500
Pt1 0.500 0.500 0.267
# - formation energy (eV/atom) = -0.01
# - V (A^3/atom) = 16.125
# - magnetic moment (μB per atom) = 0.003
# - final energy (Ry/atom) = -0.4103